Record 1
A plane-wave DFT calculation with GGA-PBE was carried out for a geometry-optimized Rb2FePt2 structure.

final energy = -42.54 eV/cell

Unit cell a=6.6132 b=6.6132 c=5.7069 alpha=90.00 beta=90.00 gamma=90.00
Space group P4/mbm (No. 127)
Symmetry-distinct sites (fractional):
Rb1 0.1785 0.3215 0.0000 (multiplicity 4)
Fe1 0.0000 0.0000 0.5000 (multiplicity 2)
Pt1 0.1395 0.6395 0.5000 (multiplicity 4)

Record 2
A plane-wave DFT calculation with GGA-PBE was carried out for a geometry-optimized Ca2LaMgO structure.

final energy = -21.14 eV/cell
ΔE_f (raw) = -1.131 eV/atom

Unit cell a=4.9485 b=4.9485 c=5.2218 alpha=90.00 beta=90.00 gamma=90.00
Space group P4/mmm (No. 123)
Symmetry-distinct sites (fractional):
Ca1 0.0000 0.5000 0.0000 (multiplicity 2)
La1 0.0000 0.0000 0.5000 (multiplicity 1)
Mg1 0.5000 0.5000 0.5000 (multiplicity 1)
O1 0.0000 0.0000 0.0000 (multiplicity 1)

Record 3
A plane-wave DFT calculation with GGA-PBE was carried out for a geometry-optimized FeCuOs structure.

energy relative to the lowest polymorph listed for this composition = 11.8 kJ per mole of atoms
final energy = -91.10 eV/cell

Unit cell a=2.8386 b=4.3267 c=12.8782 alpha=90.00 beta=90.00 gamma=90.00
Space group Fmm2 (No. 42)
Symmetry-distinct sites (fractional):
Fe1 0.0000 0.0000 0.0000 (multiplicity 4)
Cu1 0.0000 0.0000 0.6610 (multiplicity 4)
Os1 0.0000 0.0000 0.3361 (multiplicity 4)

Record 4
A plane-wave DFT calculation with GGA-PBE was carried out for a geometry-optimized Ba4Pu3O10 structure.

final energy = -299.73 eV/cell
ΔE_f (raw) = -2.917 eV/atom

Unit cell a=4.4187 b=4.4187 c=31.1934 alpha=90.00 beta=90.00 gamma=90.00
Space group I4/mmm (No. 139)
Symmetry-distinct sites (fractional):
Ba1 0.0000 0.0000 0.0698 (multiplicity 4)
Ba2 0.0000 0.0000 0.2044 (multiplicity 4)
Pu1 0.0000 0.0000 0.3584 (multiplicity 4)
Pu2 0.0000 0.0000 0.5000 (multiplicity 2)
O1 0.0000 0.0000 0.2876 (multiplicity 4)
O2 0.0000 0.0000 0.4292 (multiplicity 4)
O3 0.0000 0.5000 0.0000 (multiplicity 4)
O4 0.0000 0.5000 0.1409 (multiplicity 8)

Record 5
A plane-wave DFT calculation with GGA-PBE was carried out for a geometry-optimized Mg2Al2SnRh5 structure.

final energy = -115.12 eV/cell

Unit cell a=9.9870 b=9.9870 c=3.2400 alpha=90.00 beta=90.00 gamma=90.00
Space group P4/mbm (No. 127)
Symmetry-distinct sites (fractional):
Mg1 0.1709 0.3291 0.0000 (multiplicity 4)
Al1 0.1273 0.6273 0.0000 (multiplicity 4)
Sn1 0.0000 0.0000 0.0000 (multiplicity 2)
Rh1 0.0000 0.5000 0.5000 (multiplicity 2)
Rh2 0.0762 0.7997 0.5000 (multiplicity 8)

Record 6
A plane-wave DFT calculation with GGA-PBE was carried out for a geometry-optimized SiTe2PbN structure.

energy relative to the lowest polymorph listed for this composition = 0.0 kJ per mole of atoms
final energy = -23.31 eV/cell
ΔE_f (raw) = 0.086 eV/atom

Unit cell a=6.0972 b=6.0972 c=3.2579 alpha=90.00 beta=90.00 gamma=90.00
Space group P4/mmm (No. 123)
Symmetry-distinct sites (fractional):
Si1 0.0000 0.0000 0.0000 (multiplicity 1)
Te1 0.0000 0.5000 0.0000 (multiplicity 2)
Pb1 0.5000 0.5000 0.5000 (multiplicity 1)
N1 0.0000 0.0000 0.5000 (multiplicity 1)

Record 7
A plane-wave DFT calculation with GGA-PBE was carried out for a geometry-optimized SrCu4Rh structure.

energy relative to the lowest polymorph listed for this composition = 9.0 kJ per mole of atoms
final energy = -98.57 eV/cell

Unit cell a=4.1117 b=15.2852 c=6.4765 alpha=90.00 beta=90.00 gamma=90.00
Space group Cmcm (No. 63)
Symmetry-distinct sites (fractional):
Sr1 0.0000 0.1248 0.2500 (multiplicity 4)
Cu1 0.0000 0.0706 0.7500 (multiplicity 4)
Cu2 0.0000 0.3362 0.0697 (multiplicity 8)
Cu3 0.0000 0.5000 0.0000 (multiplicity 4)
Rh1 0.0000 0.2354 0.7500 (multiplicity 4)

Record 8
A plane-wave DFT calculation with GGA-PBE was carried out for a geometry-optimized CeEr3Pt12 structure.

final energy = -109.00 eV/cell

Unit cell a=4.1202 b=4.1202 c=16.4728 alpha=90.00 beta=90.00 gamma=90.00
Space group P4/mmm (No. 123)
Symmetry-distinct sites (fractional):
Ce1 0.0000 0.0000 0.0000 (multiplicity 1)
Er1 0.0000 0.0000 0.2530 (multiplicity 2)
Er2 0.0000 0.0000 0.5000 (multiplicity 1)
Pt1 0.0000 0.5000 0.1266 (multiplicity 4)
Pt2 0.0000 0.5000 0.3763 (multiplicity 4)
Pt3 0.5000 0.5000 0.0000 (multiplicity 1)
Pt4 0.5000 0.5000 0.2520 (multiplicity 2)
Pt5 0.5000 0.5000 0.5000 (multiplicity 1)

Record 9
A plane-wave DFT calculation with GGA-PBE was carried out for a geometry-optimized Cd4ReCl structure.

final energy = -53.01 eV/cell
ΔE_f (raw) = 0.784 eV/atom

Unit cell a=7.9557 b=7.9557 c=7.9557 alpha=90.00 beta=90.00 gamma=90.00
Space group F-43m (No. 216)
Symmetry-distinct sites (fractional):
Cd1 0.1240 0.1240 0.3760 (multiplicity 16)
Re1 0.2500 0.2500 0.7500 (multiplicity 4)
Cl1 0.0000 0.0000 0.0000 (multiplicity 4)

Record 10
A plane-wave DFT calculation with GGA-PBE was carried out for a geometry-optimized CaLaDyCd structure.

energy relative to the lowest polymorph listed for this composition = 0.0 kJ per mole of atoms
final energy = -13.02 eV/cell

Unit cell a=3.6780 b=3.6780 c=9.5515 alpha=90.00 beta=90.00 gamma=90.00
Space group P4mm (No. 99)
Symmetry-distinct sites (fractional):
Ca1 0.0000 0.0000 0.0000 (multiplicity 1)
La1 0.5000 0.5000 0.3171 (multiplicity 1)
Dy1 0.0000 0.0000 0.5802 (multiplicity 1)
Cd1 0.5000 0.5000 0.7812 (multiplicity 1)

Record 11
A plane-wave DFT calculation with GGA-PBE was carried out for a geometry-optimized TiVCoRh structure.

final energy = -130.94 eV/cell

Unit cell a=6.0309 b=6.0309 c=6.0309 alpha=90.00 beta=90.00 gamma=90.00
Space group F-43m (No. 216)
Symmetry-distinct sites (fractional):
Ti1 0.0000 0.0000 0.0000 (multiplicity 4)
V1 0.0000 0.0000 0.5000 (multiplicity 4)
Co1 0.2500 0.2500 0.7500 (multiplicity 4)
Rh1 0.2500 0.2500 0.2500 (multiplicity 4)

Record 12
A plane-wave DFT calculation with GGA-PBE was carried out for a geometry-optimized LiAu2Br structure.

energy relative to the lowest polymorph listed for this composition = 1.9 kJ per mole of atoms
final energy = -11.91 eV/cell
ΔE_f (raw) = -0.443 eV/atom

Unit cell a=3.7174 b=3.7174 c=6.8180 alpha=90.00 beta=90.00 gamma=90.00
Space group P4mm (No. 99)
Symmetry-distinct sites (fractional):
Li1 0.0000 0.0000 0.0000 (multiplicity 1)
Au1 0.0000 0.0000 0.4336 (multiplicity 1)
Au2 0.5000 0.5000 0.3428 (multiplicity 1)
Br1 0.5000 0.5000 0.9089 (multiplicity 1)

Record 13
A plane-wave DFT calculation with GGA-PBE was carried out for a geometry-optimized ZnCuRh2 structure.

final energy = -40.30 eV/cell

Unit cell a=2.8328 b=4.5551 c=8.6099 alpha=90.00 beta=90.00 gamma=90.00
Space group Cmmm (No. 65)
Symmetry-distinct sites (fractional):
Zn1 0.0000 0.0000 0.0000 (multiplicity 2)
Cu1 0.0000 0.0000 0.5000 (multiplicity 2)
Rh1 0.0000 0.5000 0.2491 (multiplicity 4)

Record 14
A plane-wave DFT calculation with GGA-PBE was carried out for a geometry-optimized Pu5Pd6 structure.

final energy = -211.57 eV/cell

Unit cell a=4.8699 b=7.0883 c=14.7489 alpha=90.00 beta=90.00 gamma=90.00
Space group Immm (No. 71)
Symmetry-distinct sites (fractional):
Pu1 0.0000 0.0000 0.0000 (multiplicity 2)
Pu2 0.0000 0.0000 0.3576 (multiplicity 4)
Pu3 0.0000 0.5000 0.3235 (multiplicity 4)
Pd1 0.0000 0.2329 0.1733 (multiplicity 8)
Pd2 0.0000 0.2826 0.5000 (multiplicity 4)